# GGA+U TiNiGeO2, optimized geometry
# - E_tot (eV per atom) = -5.87
# - size of the total moment (μB per formula unit) = 0.91
data_TiNiGeO2
_chemical_formula_sum 'Ti1 Ni1 Ge1 O2'
_symmetry_space_group_name_H-M 'P 4/m m m'
_symmetry_Int_Tables_number 123
_symmetry_space_group_name_Hall '-P 4 2'
_cell_length_a 3.729
_cell_length_b 3.729
_cell_length_c 5.787
_cell_angle_alpha 90.00
_cell_angle_beta 90.00
_cell_angle_gamma 90.00
loop_
_atom_site_label
_atom_site_fract_x
_atom_site_fract_y
_atom_site_fract_z
Ti1 0.000 0.000 0.000
Ni1 0.500 0.500 0.500
Ge1 0.000 0.000 0.500
O1 0.000 0.500 0.000